An optimized crystal structure of TcSbS2, computed with GGA-PBEsol. Values from VASP.

Summary:
* space group: R-3m
* crystal system: trigonal
* formation energy without anion corrections: 447 meV per atom

Geometry as Quantum ESPRESSO input:
```
&SYSTEM
  ibrav = 0, nat = 4, ntyp = 3
/
ATOMIC_SPECIES
Sb 121.76 Sb.upf
S 32.06 S.upf
Tc 98.00 Tc.upf
ATOMIC_POSITIONS angstrom
Sb 3.9775 -3.2612 2.4819
S 2.3688 -5.1434 0.9830
S 5.5863 -1.3790 3.9808
Tc 0.0000 0.0000 0.0000
CELL_PARAMETERS angstrom
-0.5996 -2.8208 1.0463
1.2284 -2.4442 -1.3885
7.3263 -1.2574 5.3060
```


An optimized crystal structure of SbTe2S, computed with GGA-PBEsol. Values from VASP.

Summary:
* space group: I-42d
* E above lowest polymorph: 0 meV/atom
* crystal system: tetragonal
* formation energy without anion corrections: 249 meV per atom

Geometry as Quantum ESPRESSO input:
```
&SYSTEM
  ibrav = 0, nat = 8, ntyp = 3
/
ATOMIC_SPECIES
Te 127.60 Te.upf
Sb 121.76 Sb.upf
S 32.06 S.upf
ATOMIC_POSITIONS angstrom
Te 2.8094 0.5838 0.7440
Te -2.9672 4.2759 2.0253
Te 3.5355 -0.0850 4.7773
Te 0.2000 1.9700 3.4013
Sb 0.8944 3.9722 1.3286
Sb 0.0000 0.0000 0.0000
S -2.4411 1.6371 2.6573
S 0.8944 -0.5998 4.1453
CELL_PARAMETERS angstrom
6.6710 0.0982 0.1594
-2.4411 6.2091 -0.1594
-2.4411 -2.9349 5.4739
```


An optimized crystal structure of SbTe2S, computed with GGA-PBEsol. Values from VASP.

Summary:
* space group: R-3m
* E above lowest polymorph: 19 meV/atom
* crystal system: trigonal
* formation energy without anion corrections: 269 meV per atom

Geometry as Quantum ESPRESSO input:
```
&SYSTEM
  ibrav = 0, nat = 4, ntyp = 3
/
ATOMIC_SPECIES
Sb 121.76 Sb.upf
S 32.06 S.upf
Te 127.60 Te.upf
ATOMIC_POSITIONS angstrom
Sb 0.0000 0.0000 0.0000
S -5.4298 -3.0748 1.5474
Te -4.0333 -5.1771 0.2289
Te -6.8264 -0.9725 2.8658
CELL_PARAMETERS angstrom
-1.3520 -2.3077 -2.0338
0.0096 -3.2391 0.8934
-9.5172 -0.6027 4.2351
```


An optimized crystal structure of TlSb2TeS, computed with GGA-PBEsol. Values from VASP.

Summary:
* space group: P4/mmm
* crystal system: tetragonal
* formation energy without anion corrections: 327 meV per atom

Geometry as Quantum ESPRESSO input:
```
&SYSTEM
  ibrav = 0, nat = 5, ntyp = 4
/
ATOMIC_SPECIES
Te 127.60 Te.upf
S 32.06 S.upf
Sb 121.76 Sb.upf
Tl 204.38 Tl.upf
ATOMIC_POSITIONS angstrom
Te 0.0000 0.0000 2.7032
S 0.0000 0.0000 0.0000
Sb 2.5873 0.0000 0.0000
Sb 0.0000 2.5873 0.0000
Tl 2.5873 2.5873 2.7032
CELL_PARAMETERS angstrom
5.1745 0.0000 0.0000
0.0000 5.1745 0.0000
0.0000 0.0000 5.4064
```


Calculated calculated volume (Å³ per atom), listed in the same order as above: 18.26; 28.57; 25.06; 28.95